Entry from Alexandria: a relaxed structure of Pm3Y8Er3 (PBE).

It has space group Immm (No. 71), with a = 5.671 Å, b = 10.826 Å, c = 15.031 Å, α = 90.00°, β = 90.00° and γ = 90.00°. Symmetry generates all atoms from Pm at (0.000, 0.000, 0.000), Pm at (0.000, 0.500, 0.319), Y at (0.000, 0.159, 0.279), Y at (0.000, 0.342, 0.103), Er at (0.000, 0.000, 0.500) and Er at (0.000, 0.296, 0.500).

The crystal system is orthorhombic. For the total magnetization, the calculation gives 0.0 μB/f.u. The value obtained for the energy relative to the lowest polymorph listed for this composition is 0.000 eV/atom. The calculation puts the calculated formation energy at 1.6 eV/f.u.

---

Entry from Alexandria: a relaxed structure of Tl2RuAu (PBE).

It has space group Cmmm (No. 65), with a = 6.217 Å, b = 7.648 Å, c = 3.369 Å, α = 90.00°, β = 90.00° and γ = 90.00°. Symmetry generates all atoms from Tl at (0.250, 0.250, 0.000), Ru at (0.000, 0.000, 0.500) and Au at (0.000, 0.500, 0.500).

The crystal system is orthorhombic. For the total magnetization, the calculation gives 0.0 μB/f.u. The value obtained for the energy relative to the lowest polymorph listed for this composition is 0.098 eV/atom. The calculation puts the calculated formation energy at 1.7 eV/f.u.

---

Entry from Alexandria: a relaxed structure of Ba2ZrSe (PBE).

It has space group I-42d (No. 122), with a = 11.868 Å, b = 11.868 Å, c = 5.194 Å, α = 90.00°, β = 90.00° and γ = 90.00°. Symmetry generates all atoms from Ba at (0.099, 0.250, 0.125), Zr at (0.000, 0.000, 0.500) and Se at (0.000, 0.000, 0.000).

The crystal system is tetragonal. For the total magnetization, the calculation gives 2.0 μB/f.u. For the total energy, the calculation gives -4.255 eV per atom.